## Mg2Pb (meta-GGA SCAN)

Data for a crystal of Mg2Pb relaxed with PBEsol.

```
Mg2Pb
1.0
3.358 0.000 0.000
0.000 4.544 0.000
-1.679 -2.272 4.805
Pb Mg
1 2
Cartesian
0.000 0.000 0.000 Pb
1.679 2.272 1.599 Mg
0.000 0.000 3.206 Mg
```

Output
total energy = -28.707 eV per atom
spin magnetization = 0.000 Bohr magnetons per cell
formation energy from the elements = -0.131 eV/atom